The following is a DFT calculation (PBE) of a relaxed structure of GaTc2H.

Cell lengths 5.848, 5.848, 5.848 Å; angles 90.00, 90.00, 90.00 degrees
Space group Fm-3m (No. 225)
Asymmetric unit:
Ga1 0.000 0.000 0.000 (multiplicity 4)
Tc1 0.250 0.250 0.250 (multiplicity 8)
H1 0.000 0.000 0.500 (multiplicity 4)

Properties
E_tot in eV/atom: -6.083
Energy relative to the lowest polymorph listed for this composition in meV per atom: 804
N(E_F) in states/eV/cell: 18.51
Calculated volume in Å³ per atom: 12.5
Total magnetization in μB per formula unit: 0.00



The following is a DFT calculation (PBE) of a relaxed structure of GaTcH3.

Cell lengths 3.437, 3.437, 3.437 Å; angles 90.00, 90.00, 90.00 degrees
Space group Pm-3m (No. 221)
Asymmetric unit:
Ga1 0.000 0.000 0.000 (multiplicity 1)
Tc1 0.500 0.500 0.500 (multiplicity 1)
H1 0.000 0.000 0.500 (multiplicity 3)

Properties
E_tot in eV/atom: -3.745
Energy relative to the lowest polymorph listed for this composition in meV per atom: 649
N(E_F) in states/eV/cell: 3.48
Calculated volume in Å³ per atom: 8.1
Total magnetization in μB per formula unit: 0.00



The following is a DFT calculation (PBE) of a relaxed structure of ThGaTc2H8.

Cell lengths 8.052, 4.391, 6.357 Å; angles 90.00, 113.22, 90.00 degrees
Space group C2/m (No. 12)
Asymmetric unit:
Th1 0.000 0.000 0.000 (multiplicity 2)
Ga1 0.000 0.500 0.500 (multiplicity 2)
Tc1 0.205 0.000 0.631 (multiplicity 4)
H1 0.078 0.500 0.159 (multiplicity 4)
H2 0.186 0.254 0.828 (multiplicity 8)
H3 0.209 0.000 0.367 (multiplicity 4)

Properties
E_tot in eV/atom: -5.003
N(E_F) in states/eV/cell: 8.56
Calculated volume in Å³ per atom: 8.6
Total magnetization in μB per formula unit: 0.00



The following is a DFT calculation (PBE) of a relaxed structure of Ti2GaTcH.

Cell lengths 4.137, 4.137, 3.718 Å; angles 90.00, 90.00, 90.00 degrees
Space group P4/mmm (No. 123)
Asymmetric unit:
Ti1 0.000 0.500 0.000 (multiplicity 2)
Ga1 0.000 0.000 0.500 (multiplicity 1)
Tc1 0.500 0.500 0.500 (multiplicity 1)
H1 0.500 0.500 0.000 (multiplicity 1)

Properties
E_tot in eV/atom: -6.919
N(E_F) in states/eV/cell: 4.39
Calculated volume in Å³ per atom: 12.7
Total magnetization in μB per formula unit: 0.00



The following is a DFT calculation (PBE) of a relaxed structure of V2GaTcH.

Cell lengths 3.839, 3.839, 3.917 Å; angles 90.00, 90.00, 90.00 degrees
Space group P4/mmm (No. 123)
Asymmetric unit:
V1 0.000 0.500 0.000 (multiplicity 2)
Ga1 0.000 0.000 0.500 (multiplicity 1)
Tc1 0.500 0.500 0.500 (multiplicity 1)
H1 0.500 0.500 0.000 (multiplicity 1)

Properties
E_tot in eV/atom: -7.174
N(E_F) in states/eV/cell: 3.09
Calculated volume in Å³ per atom: 11.5
Total magnetization in μB per formula unit: 0.00



The following is a DFT calculation (PBE) of a relaxed structure of Y2GaTcH.

Cell lengths 4.978, 4.978, 3.605 Å; angles 90.00, 90.00, 90.00 degrees
Space group P4/mmm (No. 123)
Asymmetric unit:
Y1 0.000 0.500 0.000 (multiplicity 2)
Ga1 0.000 0.000 0.500 (multiplicity 1)
Tc1 0.500 0.500 0.500 (multiplicity 1)
H1 0.500 0.500 0.000 (multiplicity 1)

Properties
E_tot in eV/atom: -6.300
N(E_F) in states/eV/cell: 2.63
Calculated volume in Å³ per atom: 17.9
Total magnetization in μB per formula unit: 0.00



The following is a DFT calculation (PBE) of a relaxed structure of Zr2GaTcH.

Cell lengths 4.536, 4.536, 3.703 Å; angles 90.00, 90.00, 90.00 degrees
Space group P4/mmm (No. 123)
Asymmetric unit:
Zr1 0.000 0.500 0.000 (multiplicity 2)
Ga1 0.000 0.000 0.500 (multiplicity 1)
Tc1 0.500 0.500 0.500 (multiplicity 1)
H1 0.500 0.500 0.000 (multiplicity 1)

Properties
E_tot in eV/atom: -7.168
N(E_F) in states/eV/cell: 3.51
Calculated volume in Å³ per atom: 15.2
Total magnetization in μB per formula unit: 0.00



The following is a DFT calculation (PBE) of a relaxed structure of GaTe3H.

Cell lengths 5.451, 5.451, 5.451 Å; angles 90.00, 90.00, 90.00 degrees
Space group Pm-3m (No. 221)
Asymmetric unit:
Ga1 0.000 0.000 0.000 (multiplicity 1)
Te1 0.000 0.000 0.500 (multiplicity 3)
H1 0.500 0.500 0.500 (multiplicity 1)

Properties
E_tot in eV/atom: -2.352
Energy relative to the lowest polymorph listed for this composition in meV per atom: 344
N(E_F) in states/eV/cell: 6.56
Calculated volume in Å³ per atom: 32.4
Total magnetization in μB per formula unit: 0.81



The following is a DFT calculation (PBE) of a relaxed structure of Ga2TeH.

Cell lengths 6.903, 6.903, 6.903 Å; angles 90.00, 90.00, 90.00 degrees
Space group Fm-3m (No. 225)
Asymmetric unit:
Ga1 0.250 0.250 0.250 (multiplicity 8)
Te1 0.000 0.000 0.000 (multiplicity 4)
H1 0.000 0.000 0.500 (multiplicity 4)

Properties
E_tot in eV/atom: -2.783
Energy relative to the lowest polymorph listed for this composition in meV per atom: 222
N(E_F) in states/eV/cell: 6.74
Calculated volume in Å³ per atom: 20.6
Total magnetization in μB per formula unit: 0.00



The following is a DFT calculation (PBE) of a relaxed structure of GaTe3H.

Cell lengths 4.842, 4.842, 4.842 Å; angles 90.00, 90.00, 90.00 degrees
Space group Pm-3m (No. 221)
Asymmetric unit:
Ga1 0.000 0.000 0.000 (multiplicity 1)
Te1 0.000 0.500 0.500 (multiplicity 3)
H1 0.500 0.500 0.500 (multiplicity 1)

Properties
E_tot in eV/atom: -2.697
Energy relative to the lowest polymorph listed for this composition in meV per atom: 0
N(E_F) in states/eV/cell: 3.49
Calculated volume in Å³ per atom: 22.7
Total magnetization in μB per formula unit: 0.00



The following is a DFT calculation (PBE) of a relaxed structure of GaTeH3.

Cell lengths 3.851, 3.851, 3.851 Å; angles 90.00, 90.00, 90.00 degrees
Space group Pm-3m (No. 221)
Asymmetric unit:
Ga1 0.000 0.000 0.000 (multiplicity 1)
Te1 0.500 0.500 0.500 (multiplicity 1)
H1 0.000 0.000 0.500 (multiplicity 3)

Properties
E_tot in eV/atom: -2.587
Energy relative to the lowest polymorph listed for this composition in meV per atom: 47
N(E_F) in states/eV/cell: 2.39
Calculated volume in Å³ per atom: 11.4
Total magnetization in μB per formula unit: 0.00



The following is a DFT calculation (PBE) of a relaxed structure of Ga2TeH.

Cell lengths 5.439, 5.439, 11.586 Å; angles 90.00, 90.00, 90.00 degrees
Space group I-42d (No. 122)
Asymmetric unit:
Ga1 0.117 0.250 0.125 (multiplicity 8)
Te1 0.000 0.000 0.500 (multiplicity 4)
H1 0.000 0.000 0.000 (multiplicity 4)

Properties
E_tot in eV/atom: -3.005
Energy relative to the lowest polymorph listed for this composition in meV per atom: 0
N(E_F) in states/eV/cell: 3.49
Calculated volume in Å³ per atom: 21.4
Total magnetization in μB per formula unit: 0.00



The following is a DFT calculation (PBE) of a relaxed structure of Ga2Te3H2.

Cell lengths 4.608, 6.777, 7.621 Å; angles 65.37, 76.64, 74.85 degrees
Space group P-1 (No. 2)
Asymmetric unit:
Ga1 0.022 0.491 0.300 (multiplicity 2)
Te1 0.150 0.156 0.618 (multiplicity 2)
Te2 0.500 0.500 0.000 (multiplicity 1)
H1 0.217 0.536 0.828 (multiplicity 2)

Properties
E_tot in eV/atom: -3.118
N(E_F) in states/eV/cell: 1.19
Calculated volume in Å³ per atom: 29.5
Total magnetization in μB per formula unit: 0.00



The following is a DFT calculation (PBE) of a relaxed structure of GaTeH3.

Cell lengths 4.164, 4.164, 4.164 Å; angles 90.00, 90.00, 90.00 degrees
Space group Pm-3m (No. 221)
Asymmetric unit:
Ga1 0.000 0.000 0.000 (multiplicity 1)
Te1 0.500 0.500 0.500 (multiplicity 1)
H1 0.000 0.500 0.500 (multiplicity 3)

Properties
E_tot in eV/atom: -2.633
Energy relative to the lowest polymorph listed for this composition in meV per atom: 0
N(E_F) in states/eV/cell: 1.56
Calculated volume in Å³ per atom: 14.4
Total magnetization in μB per formula unit: 0.00



The following is a DFT calculation (PBE) of a relaxed structure of Th2GaH.

Cell lengths 16.491, 3.716, 6.429 Å; angles 90.00, 112.93, 90.00 degrees
Space group C2/m (No. 12)
Asymmetric unit:
Th1 0.000 0.000 0.248 (multiplicity 4)
Th2 0.207 0.500 0.207 (multiplicity 4)
Ga1 0.134 0.500 0.633 (multiplicity 4)
H1 0.113 0.000 0.113 (multiplicity 4)

Properties
E_tot in eV/atom: -5.639
Energy relative to the lowest polymorph listed for this composition in meV per atom: 0
N(E_F) in states/eV/cell: 13.75
Calculated volume in Å³ per atom: 22.7
Total magnetization in μB per formula unit: 0.00



The following is a DFT calculation (PBE) of a relaxed structure of Th3GaH.

Cell lengths 4.903, 4.903, 4.903 Å; angles 90.00, 90.00, 90.00 degrees
Space group Pm-3m (No. 221)
Asymmetric unit:
Th1 0.000 0.000 0.500 (multiplicity 3)
Ga1 0.500 0.500 0.500 (multiplicity 1)
H1 0.000 0.000 0.000 (multiplicity 1)

Properties
E_tot in eV/atom: -5.948
N(E_F) in states/eV/cell: 3.10
Calculated volume in Å³ per atom: 23.6
Total magnetization in μB per formula unit: 0.00



The following is a DFT calculation (PBE) of a relaxed structure of Th4Ga2H.

Cell lengths 4.626, 4.626, 16.353 Å; angles 90.00, 90.00, 90.00 degrees
Space group I4/mmm (No. 139)
Asymmetric unit:
Th1 0.000 0.000 0.179 (multiplicity 4)
Th2 0.000 0.500 0.000 (multiplicity 4)
Ga1 0.000 0.000 0.364 (multiplicity 4)
H1 0.000 0.000 0.000 (multiplicity 2)

Properties
E_tot in eV/atom: -5.847
N(E_F) in states/eV/cell: 13.32
Calculated volume in Å³ per atom: 25.0
Total magnetization in μB per formula unit: 0.00



The following is a DFT calculation (PBE) of a relaxed structure of Th2GaH.

Cell lengths 3.4012, 3.4012, 28.3812 Å; angles 90.00, 90.00, 120.00 degrees
Space group R-3m (No. 166, hexagonal axes)
Asymmetric unit:
Th1 0.0000 0.0000 0.1095 (multiplicity 6)
Ga1 0.0000 0.0000 0.0000 (multiplicity 3)
H1 0.0000 0.0000 0.5000 (multiplicity 3)

Properties
E_tot in eV/atom: -5.212
Energy relative to the lowest polymorph listed for this composition in meV per atom: 427
N(E_F) in states/eV/cell: 11.26
Calculated volume in Å³ per atom: 23.7
Total magnetization in μB per formula unit: 0.00



The following is a DFT calculation (PBE) of a relaxed structure of Ti3GaH.

Cell lengths 4.559, 4.559, 19.587 Å; angles 90.00, 90.00, 90.00 degrees
Space group I-4m2 (No. 119)
Asymmetric unit:
Ti1 0.000 0.000 0.201 (multiplicity 4)
Ti2 0.000 0.248 0.631 (multiplicity 8)
Ga1 0.000 0.000 0.500 (multiplicity 2)
Ga2 0.000 0.500 0.750 (multiplicity 2)
H1 0.000 0.500 0.152 (multiplicity 4)

Properties
E_tot in eV/atom: -5.308
N(E_F) in states/eV/cell: 21.15
Calculated volume in Å³ per atom: 20.4
Total magnetization in μB per formula unit: 0.00



The following is a DFT calculation (PBE) of a relaxed structure of Ti2GaH2.

Cell lengths 5.091, 8.501, 5.540 Å; angles 90.00, 117.30, 90.00 degrees
Space group C2/c (No. 15)
Asymmetric unit:
Ti1 0.000 0.044 0.250 (multiplicity 4)
Ti2 0.000 0.292 0.750 (multiplicity 4)
Ga1 0.000 0.375 0.250 (multiplicity 4)
H1 0.126 0.124 0.000 (multiplicity 8)

Properties
E_tot in eV/atom: -5.542
Energy relative to the lowest polymorph listed for this composition in meV per atom: 41
N(E_F) in states/eV/cell: 13.04
Calculated volume in Å³ per atom: 10.7
Total magnetization in μB per formula unit: 0.00